[1]
Compound: La2Zn5Ni4
Source: the Alexandria database
Functional: PBE
Structure: optimized geometry

extended XYZ file:
```
11
Lattice="0.000 4.661 7.845 2.597 0.000 7.845 2.597 4.661 0.000" Properties=species:S:1:pos:R:3 pbc="T T T"
La 2.597 4.661 2.247
La 2.597 4.661 13.443
Zn 1.298 2.331 0.000
Zn 1.298 2.331 3.922
Zn 1.298 2.331 7.845
Zn 2.597 4.661 7.845
Zn 3.895 6.992 11.767
Ni 2.597 3.237 5.839
Ni 2.597 3.237 9.850
Ni 2.597 6.085 5.839
Ni 2.597 6.085 9.850
```

As for the space group: Fmmm, No. 69. The calculation puts the uncorrected energy at -42.99 eV per formula unit. For the relative energy among the computed polymorphs, the calculation gives 0.0 meV per atom. The formation energy is -0.33 eV/atom. Its total magnetic moment is 0.000 μB/atom.


[2]
Compound: La2ZnNi2
Source: the Alexandria database
Functional: PBE
Structure: optimized geometry

extended XYZ file:
```
5
Lattice="-1.800 1.800 8.606 1.800 -1.800 8.606 1.800 1.800 -8.606" Properties=species:S:1:pos:R:3 pbc="T T T"
La 0.000 0.000 2.092
La 0.000 0.000 15.119
Zn 0.000 0.000 8.606
Ni 1.800 0.000 4.303
Ni 0.000 1.800 4.303
```

As for the space group: I4/mmm, No. 139. The calculation puts the uncorrected energy at -23.34 eV per formula unit. The formation energy is -0.13 eV/atom. Its total magnetic moment is 0.000 μB/atom.


[3]
Compound: La4ZnNi
Source: the Alexandria database
Functional: PBE
Structure: optimized geometry

extended XYZ file:
```
12
Lattice="6.373 0.000 0.000 0.000 7.180 0.000 -2.832 0.000 7.832" Properties=species:S:1:pos:R:3 pbc="T T T"
La -0.528 0.026 1.791
La -0.528 3.564 1.791
La 0.906 1.795 4.912
La 2.539 1.795 0.647
La 1.003 5.385 7.184
La 2.635 5.385 2.920
La 4.069 3.616 6.041
La 4.069 7.154 6.041
Zn -0.212 5.385 4.356
Zn 3.753 1.795 3.476
Ni 1.200 5.385 0.410
Ni 2.341 1.795 7.422
```

As for the space group: P2_1/m, No. 11. The calculation puts the uncorrected energy at -27.83 eV per formula unit. For the relative energy among the computed polymorphs, the calculation gives 0.0 meV per atom. The formation energy is -0.18 eV/atom. Its total magnetic moment is 0.000 μB/atom.


[4]
Compound: La3Zn7Ni4
Source: the Alexandria database
Functional: PBE
Structure: optimized geometry

extended XYZ file:
```
14
Lattice="7.621 -2.126 0.000 7.621 2.126 0.000 -5.115 0.000 7.788" Properties=species:S:1:pos:R:3 pbc="T T T"
La 0.000 0.000 0.000
La 3.095 0.000 2.312
La 7.031 0.000 5.476
Zn -2.558 0.000 3.894
Zn 0.081 0.000 3.218
Zn -0.088 0.000 7.667
Zn 3.900 0.000 5.518
Zn 6.226 0.000 2.270
Zn 10.214 0.000 0.121
Zn 10.045 0.000 4.570
Ni -2.542 0.000 6.419
Ni 1.414 0.000 5.542
Ni 8.712 0.000 2.245
Ni 12.668 0.000 1.368
```

As for the space group: C2/m, No. 12. The calculation puts the uncorrected energy at -51.62 eV per formula unit. The formation energy is -0.34 eV/atom. Its total magnetic moment is 0.000 μB/atom.


[5]
Compound: LaZn12Ni4
Source: the Alexandria database
Functional: PBE
Structure: optimized geometry

extended XYZ file:
```
17
Lattice="-4.250 4.250 4.250 4.250 -4.250 4.250 4.250 4.250 -4.250" Properties=species:S:1:pos:R:3 pbc="T T T"
La 0.000 0.000 0.000
Zn 2.956 0.000 1.459
Zn 5.543 0.000 1.459
Zn 4.250 2.791 -1.293
Zn 1.459 2.956 0.000
Zn 2.791 -1.293 4.250
Zn 4.250 2.791 1.293
Zn 0.000 1.459 2.956
Zn 1.459 5.543 0.000
Zn 2.791 1.293 4.250
Zn 0.000 1.459 5.543
Zn -1.293 4.250 2.791
Zn 1.293 4.250 2.791
Ni 2.125 2.125 -2.125
Ni 2.125 -2.125 2.125
Ni -2.125 2.125 2.125
Ni 2.125 2.125 2.125
```

As for the space group: Im-3, No. 204. The calculation puts the uncorrected energy at -41.66 eV per formula unit. The formation energy is 0.10 eV/atom. Its total magnetic moment is 0.000 μB/atom.


[6]
Compound: LaZnNi4
Source: the Alexandria database
Functional: PBE
Structure: optimized geometry

extended XYZ file:
```
6
Lattice="5.121 0.000 0.000 -2.561 4.435 0.000 0.000 0.000 3.959" Properties=species:S:1:pos:R:3 pbc="T T T"
La 0.000 0.000 0.000
Zn 0.000 2.957 0.000
Ni 2.561 0.026 1.979
Ni 1.303 2.205 1.979
Ni 2.561 1.478 0.000
Ni 3.818 2.205 1.979
```

As for the space group: P-6m2, No. 187. The calculation puts the uncorrected energy at -31.30 eV per formula unit. The formation energy is -0.33 eV/atom. Its total magnetic moment is 0.000 μB/atom.


[7]
Compound: La2Zn5Ni3
Source: the Alexandria database
Functional: PBE
Structure: optimized geometry

extended XYZ file:
```
10
Lattice="4.014 0.000 0.000 0.000 4.014 0.000 0.000 0.000 11.231" Properties=species:S:1:pos:R:3 pbc="T T T"
La 0.000 2.007 2.509
La 2.007 0.000 8.722
Zn 0.000 0.000 5.615
Zn 0.000 2.007 7.281
Zn 2.007 0.000 3.950
Zn 2.007 2.007 0.000
Zn 2.007 2.007 5.615
Ni 0.000 0.000 0.000
Ni 0.000 2.007 9.761
Ni 2.007 0.000 1.470
```

As for the space group: P-4m2, No. 115. The calculation puts the uncorrected energy at -36.53 eV per formula unit. The formation energy is -0.30 eV/atom. Its total magnetic moment is 0.000 μB/atom.


[8]
Compound: LaZnNi3
Source: the Alexandria database
Functional: PBE
Structure: optimized geometry

extended XYZ file:
```
10
Lattice="-2.559 3.410 4.611 2.559 -3.410 4.611 2.559 3.410 -4.611" Properties=species:S:1:pos:R:3 pbc="T T T"
La 0.000 0.000 0.000
La 0.000 3.410 0.000
Zn 2.559 1.705 0.261
Zn 0.000 1.705 4.350
Ni 2.559 -0.430 1.819
Ni 2.559 2.980 -1.819
Ni -1.280 1.705 2.305
Ni 1.280 1.705 2.305
Ni 0.000 0.430 6.430
Ni 0.000 3.841 2.791
```

As for the space group: Imma, No. 74. The calculation puts the uncorrected energy at -24.39 eV per formula unit. For the relative energy among the computed polymorphs, the calculation gives 67.3 meV per atom. The formation energy is -0.17 eV/atom. Its total magnetic moment is 0.000 μB/atom.


[9]
Compound: La8Zn2Ni
Source: the Alexandria database
Functional: PBE
Structure: optimized geometry

extended XYZ file:
```
11
Lattice="-2.475 4.597 7.160 2.475 -4.597 7.160 2.475 4.597 -7.160" Properties=species:S:1:pos:R:3 pbc="T T T"
La 0.000 0.000 1.767
La 2.475 2.580 -2.196
La 0.000 3.154 0.000
La 2.475 2.580 2.196
La 0.000 2.017 4.964
La 0.000 6.040 0.000
La 0.000 2.017 9.356
La 0.000 0.000 12.552
Zn 2.475 0.000 4.213
Zn 0.000 4.597 2.946
Ni 2.475 0.000 0.000
```

As for the space group: Immm, No. 71. The calculation puts the uncorrected energy at -48.32 eV per formula unit. The formation energy is -0.05 eV/atom. Its total magnetic moment is 0.000 μB/atom.


[10]
Compound: La2Zn2Ni
Source: the Alexandria database
Functional: PBE
Structure: optimized geometry

extended XYZ file:
```
10
Lattice="6.814 0.000 0.000 0.000 6.814 0.000 0.000 0.000 4.849" Properties=species:S:1:pos:R:3 pbc="T T T"
La 1.167 2.240 0.000
La 2.240 5.646 0.000
La 4.574 1.167 0.000
La 5.646 4.574 0.000
Zn 0.940 4.347 2.424
Zn 2.466 0.940 2.424
Zn 4.347 5.873 2.424
Zn 5.873 2.466 2.424
Ni 0.000 0.000 2.424
Ni 3.407 3.407 2.424
```

As for the space group: P4/mbm, No. 127. The calculation puts the uncorrected energy at -18.96 eV per formula unit. For the relative energy among the computed polymorphs, the calculation gives 179.9 meV per atom. The formation energy is -0.15 eV/atom. Its total magnetic moment is 0.000 μB/atom.


[11]
Compound: La2ZrNi2
Source: the Alexandria database
Functional: PBE
Structure: optimized geometry

extended XYZ file:
```
10
Lattice="7.166 0.000 0.000 0.000 7.166 0.000 0.000 0.000 4.392" Properties=species:S:1:pos:R:3 pbc="T T T"
La 1.236 2.347 0.000
La 2.347 5.930 0.000
La 4.819 1.236 0.000
La 5.930 4.819 0.000
Zr 0.000 0.000 2.196
Zr 3.583 3.583 2.196
Ni 0.953 4.536 2.196
Ni 2.630 0.953 2.196
Ni 4.536 6.213 2.196
Ni 6.213 2.630 2.196
```

As for the space group: P4/mbm, No. 127. The calculation puts the uncorrected energy at -30.80 eV per formula unit. The formation energy is -0.17 eV/atom. Its total magnetic moment is 0.000 μB/atom.


[12]
Compound: La2ZrNi9
Source: the Alexandria database
Functional: PBE
Structure: optimized geometry

extended XYZ file:
```
12
Lattice="2.460 1.420 8.416 -2.460 1.420 8.416 0.000 -2.841 8.416" Properties=species:S:1:pos:R:3 pbc="T T T"
La 0.000 0.000 3.448
La 0.000 0.000 21.801
Zr 0.000 0.000 0.000
Ni -1.227 -0.708 10.388
Ni 0.000 0.000 8.408
Ni 0.000 -1.417 14.861
Ni -1.227 0.708 14.861
Ni 0.000 0.000 12.625
Ni 1.227 -0.708 10.388
Ni 0.000 1.417 10.388
Ni 0.000 0.000 16.841
Ni 1.227 0.708 14.861
```

As for the space group: R-3m, No. 166. The calculation puts the uncorrected energy at -74.07 eV per formula unit. The formation energy is -0.30 eV/atom. Its total magnetic moment is 0.000 μB/atom.


Which value of total magnetic moment does entry 3 give?
0.000 μB/atom


Copy entry 4 word for word.
Compound: La3Zn7Ni4
Source: the Alexandria database
Functional: PBE
Structure: optimized geometry

extended XYZ file:
```
14
Lattice="7.621 -2.126 0.000 7.621 2.126 0.000 -5.115 0.000 7.788" Properties=species:S:1:pos:R:3 pbc="T T T"
La 0.000 0.000 0.000
La 3.095 0.000 2.312
La 7.031 0.000 5.476
Zn -2.558 0.000 3.894
Zn 0.081 0.000 3.218
Zn -0.088 0.000 7.667
Zn 3.900 0.000 5.518
Zn 6.226 0.000 2.270
Zn 10.214 0.000 0.121
Zn 10.045 0.000 4.570
Ni -2.542 0.000 6.419
Ni 1.414 0.000 5.542
Ni 8.712 0.000 2.245
Ni 12.668 0.000 1.368
```

As for the space group: C2/m, No. 12. The calculation puts the uncorrected energy at -51.62 eV per formula unit. The formation energy is -0.34 eV/atom. Its total magnetic moment is 0.000 μB/atom.